Crystalline MgBiIrRh at its relaxed geometry. Source: Alexandria, functional PBE. Values from VASP.

SG ... F-43m
Energy ... -22.12 eV for the cell shown
Magnetization ... 0.341 μB/f.u.
V ... 70.1 Å³/cell

Structure (Quantum ESPRESSO input):
```
&SYSTEM
  ibrav = 0, nat = 4, ntyp = 4
/
ATOMIC_SPECIES
Mg 24.30 Mg.upf
Rh 102.91 Rh.upf
Bi 208.98 Bi.upf
Ir 192.22 Ir.upf
CELL_PARAMETERS angstrom
-3.477 -2.805 -1.207
0.785 -4.516 -0.639
-1.643 -3.086 3.033
ATOMIC_POSITIONS crystal
Mg 0.750 0.750 0.750
Rh 0.500 0.500 0.500
Bi 0.250 0.250 0.250
Ir 0.000 0.000 0.000
```


Crystalline TmCdInPt at its relaxed geometry. Source: Alexandria, functional PBE. Values from VASP.

SG ... F-43m
Energy ... -16.57 eV for the cell shown
Magnetization ... 0.000 μB/f.u.
V ... 82.6 Å³/cell

Structure (Quantum ESPRESSO input):
```
&SYSTEM
  ibrav = 0, nat = 4, ntyp = 4
/
ATOMIC_SPECIES
Pt 195.08 Pt.upf
Tm 168.93 Tm.upf
In 114.82 In.upf
Cd 112.41 Cd.upf
CELL_PARAMETERS angstrom
4.889 0.000 0.000
2.444 4.234 0.000
2.444 1.411 3.991
ATOMIC_POSITIONS crystal
Pt 0.750 0.750 0.750
Tm 0.000 0.000 0.000
In 0.500 0.500 0.500
Cd 0.250 0.250 0.250
```


Crystalline CdCo2Si at its relaxed geometry. Source: Alexandria, functional PBE. Values from VASP.

SG ... R-3m
Energy ... -20.50 eV for the cell shown
ΔE to the lowest computed polymorph ... 222.3 meV/atom
Magnetization ... 1.238 μB/f.u.
V ... 53.5 Å³/cell

Structure (Quantum ESPRESSO input):
```
&SYSTEM
  ibrav = 0, nat = 4, ntyp = 3
/
ATOMIC_SPECIES
Co 58.93 Co.upf
Cd 112.41 Cd.upf
Si 28.09 Si.upf
CELL_PARAMETERS angstrom
8.208 0.003 0.002
7.740 2.735 0.002
7.740 1.329 2.390
ATOMIC_POSITIONS crystal
Co 0.987 0.987 0.987
Cd 0.750 0.750 0.750
Co 0.513 0.513 0.513
Si 0.250 0.250 0.250
```


Crystalline InAgSCl2 at its relaxed geometry. Source: Alexandria, functional PBE. Values from VASP.

SG ... P4/mmm
Energy ... -14.04 eV for the cell shown
ΔE to the lowest computed polymorph ... 97.1 meV/atom
Magnetization ... 0.889 μB/f.u.
V ... 128.8 Å³/cell

Structure (Quantum ESPRESSO input):
```
&SYSTEM
  ibrav = 0, nat = 5, ntyp = 4
/
ATOMIC_SPECIES
Cl 35.45 Cl.upf
S 32.06 S.upf
In 114.82 In.upf
Ag 107.87 Ag.upf
CELL_PARAMETERS angstrom
5.064 0.000 0.000
0.000 5.064 0.000
0.000 0.000 5.023
ATOMIC_POSITIONS crystal
Cl 0.000 0.500 0.000
Cl 0.500 0.000 0.000
S 0.000 0.000 0.500
In 0.500 0.500 0.500
Ag 0.000 0.000 0.000
```


Crystalline BaScBO4 at its relaxed geometry. Source: Alexandria, functional PBE. Values from VASP.

SG ... P2_1/m
Energy ... -110.76 eV for the cell shown
Magnetization ... 0.000 μB/f.u.
V ... 174.5 Å³/cell

Structure (Quantum ESPRESSO input):
```
&SYSTEM
  ibrav = 0, nat = 14, ntyp = 4
/
ATOMIC_SPECIES
Sc 44.96 Sc.upf
O 16.00 O.upf
B 10.81 B.upf
Ba 137.33 Ba.upf
CELL_PARAMETERS angstrom
4.783 0.000 -0.716
0.000 5.286 0.000
-2.834 0.000 7.326
ATOMIC_POSITIONS crystal
Sc 0.222 0.250 0.529
Sc 0.778 0.750 0.471
O 0.701 0.250 0.801
O 0.588 0.250 0.466
B 0.156 0.750 0.328
Ba 0.647 0.750 0.898
O 0.412 0.750 0.534
O 0.946 0.978 0.300
O 0.946 0.522 0.300
Ba 0.353 0.250 0.102
O 0.054 0.478 0.700
B 0.844 0.250 0.672
O 0.054 0.022 0.700
O 0.299 0.750 0.199
```


Crystalline LiLa2CdH at its relaxed geometry. Source: Alexandria, functional PBE. Values from VASP.

SG ... P4/mmm
Energy ... -17.02 eV for the cell shown
ΔE to the lowest computed polymorph ... 108.3 meV/atom
Magnetization ... 0.000 μB/f.u.
V ... 117.4 Å³/cell

Structure (Quantum ESPRESSO input):
```
&SYSTEM
  ibrav = 0, nat = 5, ntyp = 4
/
ATOMIC_SPECIES
La 138.91 La.upf
Cd 112.41 Cd.upf
H 1.01 H.upf
Li 6.94 Li.upf
CELL_PARAMETERS angstrom
-0.332 -4.736 -1.541
4.783 0.127 -1.421
1.310 -1.483 4.276
ATOMIC_POSITIONS crystal
La 0.000 0.500 0.000
La 0.500 0.000 0.000
Cd 0.000 0.000 0.500
H 0.000 0.000 0.000
Li 0.500 0.500 0.500
```


Crystalline OsRu2S at its relaxed geometry. Source: Alexandria, functional PBE. Values from VASP.

SG ... Cm
Energy ... -65.30 eV for the cell shown
Magnetization ... 0.000 μB/f.u.
V ... 116.0 Å³/cell

Structure (Quantum ESPRESSO input):
```
&SYSTEM
  ibrav = 0, nat = 8, ntyp = 3
/
ATOMIC_SPECIES
Os 190.23 Os.upf
Ru 101.07 Ru.upf
S 32.06 S.upf
CELL_PARAMETERS angstrom
-3.722 0.707 2.279
0.605 -2.203 1.672
4.929 5.566 5.552
ATOMIC_POSITIONS crystal
Os 0.959 0.000 0.591
Ru 0.697 0.500 0.804
Ru 0.697 0.000 0.304
Ru 0.182 0.500 0.370
Ru 0.182 0.000 0.870
S 0.373 0.000 0.103
Os 0.959 0.500 0.091
S 0.373 0.500 0.603
```


Crystalline Li6Ca3Zn5 at its relaxed geometry. Source: Alexandria, functional PBE. Values from VASP.

SG ... Immm
Energy ... -25.77 eV for the cell shown
Magnetization ... 0.000 μB/f.u.
V ... 292.0 Å³/cell

Structure (Quantum ESPRESSO input):
```
&SYSTEM
  ibrav = 0, nat = 14, ntyp = 3
/
ATOMIC_SPECIES
Li 6.94 Li.upf
Zn 65.41 Zn.upf
Ca 40.08 Ca.upf
CELL_PARAMETERS angstrom
4.469 0.000 1.222
1.630 7.833 2.822
0.084 0.366 8.475
ATOMIC_POSITIONS crystal
Li 0.500 0.684 0.316
Zn 0.658 0.706 0.978
Li 0.859 0.427 0.855
Ca 0.294 0.706 0.706
Li 0.859 0.855 0.427
Zn 0.342 0.022 0.294
Zn 0.658 0.978 0.706
Li 0.141 0.573 0.145
Li 0.500 0.316 0.684
Ca 0.000 0.000 0.000
Li 0.141 0.145 0.573
Ca 0.706 0.294 0.294
Zn 0.000 0.500 0.500
Zn 0.342 0.294 0.022
```


Crystalline YBe2Ru at its relaxed geometry. Source: Alexandria, functional PBE. Values from VASP.

SG ... Cmmm
Energy ... -22.48 eV for the cell shown
ΔE to the lowest computed polymorph ... 429.7 meV/atom
Magnetization ... 0.000 μB/f.u.
V ... 58.3 Å³/cell

Structure (Quantum ESPRESSO input):
```
&SYSTEM
  ibrav = 0, nat = 4, ntyp = 3
/
ATOMIC_SPECIES
Ru 101.07 Ru.upf
Y 88.91 Y.upf
Be 9.01 Be.upf
CELL_PARAMETERS angstrom
-2.593 -4.836 -2.848
3.288 -0.510 2.791
-1.715 -2.150 1.630
ATOMIC_POSITIONS crystal
Ru 0.000 0.500 0.500
Y 0.500 0.500 0.000
Be 0.500 0.000 0.500
Be 0.000 0.000 0.000
```


Crystalline Bi4As3S at its relaxed geometry. Source: Alexandria, functional PBE. Values from VASP.

SG ... P1
Energy ... -33.93 eV for the cell shown
Magnetization ... 0.000 μB/f.u.
V ... 224.2 Å³/cell

Structure (Quantum ESPRESSO input):
```
&SYSTEM
  ibrav = 0, nat = 8, ntyp = 3
/
ATOMIC_SPECIES
Bi 208.98 Bi.upf
As 74.92 As.upf
S 32.06 S.upf
CELL_PARAMETERS angstrom
-3.230 -0.917 -2.527
4.800 -2.389 -5.308
1.225 -7.281 1.033
ATOMIC_POSITIONS crystal
Bi 0.001 0.753 0.766
Bi 0.501 0.236 0.776
Bi 0.000 0.248 0.271
As 0.000 0.503 0.483
S 0.499 0.515 0.963
As 0.000 0.003 0.983
As 0.499 0.007 0.483
Bi 0.501 0.736 0.277
```


Crystalline Li2SmHoCd4 at its relaxed geometry. Source: Alexandria, functional PBE. Values from VASP.

SG ... R-3m
Energy ... -18.88 eV for the cell shown
Magnetization ... 0.000 μB/f.u.
V ... 185.1 Å³/cell

Structure (Quantum ESPRESSO input):
```
&SYSTEM
  ibrav = 0, nat = 8, ntyp = 4
/
ATOMIC_SPECIES
Cd 112.41 Cd.upf
Li 6.94 Li.upf
Ho 164.93 Ho.upf
Sm 150.36 Sm.upf
CELL_PARAMETERS angstrom
-3.061 3.785 1.434
-3.395 -0.745 3.697
3.455 3.413 7.344
ATOMIC_POSITIONS crystal
Cd 0.874 0.874 0.379
Li 0.751 0.751 0.747
Cd 0.377 0.377 0.869
Ho 0.500 0.500 0.500
Li 0.249 0.249 0.253
Cd 0.623 0.623 0.131
Cd 0.126 0.126 0.621
Sm 0.000 0.000 0.000
```


Crystalline La2Tb12Dy5 at its relaxed geometry. Source: Alexandria, functional PBE. Values from VASP.

SG ... P-1
Energy ... -86.76 eV for the cell shown
ΔE to the lowest computed polymorph ... 0.0 meV/atom
Magnetization ... 0.001 μB/f.u.
V ... 624.4 Å³/cell

Structure (Quantum ESPRESSO input):
```
&SYSTEM
  ibrav = 0, nat = 19, ntyp = 3
/
ATOMIC_SPECIES
Dy 162.50 Dy.upf
Tb 158.93 Tb.upf
La 138.91 La.upf
CELL_PARAMETERS angstrom
-4.645 2.690 -4.153
8.106 -9.093 -4.673
-11.131 0.821 5.362
ATOMIC_POSITIONS crystal
Dy 0.587 0.218 0.679
Dy 0.604 0.747 0.763
Dy 0.396 0.253 0.237
Tb 0.291 0.611 0.476
Tb 0.927 0.643 0.057
Tb 0.073 0.357 0.943
La 0.919 0.188 0.116
Dy 0.000 0.000 0.500
Tb 0.149 0.407 0.640
Tb 0.519 0.614 0.929
Tb 0.129 0.968 0.718
Tb 0.389 0.969 0.195
Dy 0.413 0.782 0.321
Tb 0.611 0.031 0.805
Tb 0.851 0.593 0.360
La 0.081 0.812 0.884
Tb 0.481 0.386 0.071
Tb 0.709 0.389 0.524
Tb 0.871 0.032 0.282
```


Crystalline Tm5Pb2 at its relaxed geometry. Source: Alexandria, functional PBE. Values from VASP.

SG ... C2/c
Energy ... -63.14 eV for the cell shown
Magnetization ... 0.000 μB/f.u.
V ... 412.8 Å³/cell

Structure (Quantum ESPRESSO input):
```
&SYSTEM
  ibrav = 0, nat = 14, ntyp = 2
/
ATOMIC_SPECIES
Pb 207.20 Pb.upf
Tm 168.93 Tm.upf
CELL_PARAMETERS angstrom
6.201 0.000 0.000
0.000 8.466 0.187
-3.101 -1.102 7.839
ATOMIC_POSITIONS crystal
Pb 0.779 0.587 0.193
Tm 0.828 0.312 0.439
Tm 0.964 0.941 0.221
Pb 0.586 0.913 0.807
Tm 0.389 0.188 0.561
Tm 0.257 0.441 0.221
Tm 0.036 0.059 0.779
Pb 0.414 0.087 0.193
Tm 0.684 0.250 0.000
Pb 0.221 0.413 0.807
Tm 0.316 0.750 0.000
Tm 0.611 0.812 0.439
Tm 0.172 0.688 0.561
Tm 0.743 0.559 0.779
```